[1]
Density functional theory data (GGA-PBE) for a relaxed HfMgRh4 crystal.

Properties
space-group type = C2/m
electronic total energy = -7.240 eV/atom
formation energy from the elements = -0.41 eV/atom

a = 3.661 Å, b = 4.973 Å, c = 6.434 Å
α = 106.87°, β = 73.47°, γ = 68.40°
Element x y z (fractional)
Hf1 0.000 0.000 0.000
Mg1 0.500 0.500 0.500
Rh1 0.838 0.499 0.825
Rh2 0.325 0.015 0.335
Rh3 0.162 0.501 0.175
Rh4 0.675 0.985 0.665


[2]
Density functional theory data (GGA-PBE) for a relaxed HfCrCuS4 crystal.

Properties
E above lowest polymorph = 0.075 eV/atom
space-group type = P2/m
electronic total energy = -6.668 eV/atom
formation energy (no corrections) = -0.9275 eV per atom

a = 3.590 Å, b = 6.023 Å, c = 11.801 Å
α = 86.88°, β = 90.00°, γ = 90.00°
Each line ends with the local moment (μB).
Element x y z (fractional)
Hf1 0.500 0.495 0.744  0.03
Hf2 0.500 0.505 0.256  0.03
Cr1 0.000 0.027 0.245  2.81
Cr2 0.000 0.973 0.755  2.81
Cu1 0.500 0.500 0.000  0.01
Cu2 0.000 0.000 0.500  0.03
S1 0.500 0.185 0.127  -0.02
S2 0.500 0.815 0.873  -0.02
S3 0.000 0.673 0.620  -0.01
S4 0.000 0.327 0.380  -0.01
S5 0.000 0.700 0.132  -0.01
S6 0.000 0.300 0.868  -0.01
S7 0.500 0.140 0.637  -0.03
S8 0.500 0.860 0.363  -0.03


The records above give, respectively, size of the total moment values of 0.000 0.430 μB/atom.
The records above give, respectively, V values of 94 255 Å³ per cell.